Below is crystalline Rb2MoSO4 at its relaxed geometry, with properties calculated at the PBE+U level. Values from VASP.

- density (g/cm3) = 3.098
- calculated volume (Å³/cell) = 389.02
- total DFT energy (no corrections) (eV/atom) = -5.2234
- space-group type = R-3m (166)

Cell and atoms, written as Quantum ESPRESSO input:
```
&SYSTEM
  ibrav = 0, nat = 16, ntyp = 4
/
ATOMIC_SPECIES
Rb 85.47 Rb.upf
O 16.00 O.upf
Mo 95.94 Mo.upf
S 32.06 S.upf
ATOMIC_POSITIONS crystal
Rb 0.776 0.776 0.776
Rb 0.355 0.355 0.355
Rb 0.224 0.224 0.224
Rb 0.645 0.645 0.645
O 0.559 0.559 0.559
O 0.113 0.640 0.113
O 0.640 0.113 0.113
O 0.113 0.113 0.640
O 0.887 0.887 0.360
O 0.360 0.887 0.887
O 0.887 0.360 0.887
O 0.441 0.441 0.441
Mo 0.939 0.939 0.939
Mo 0.061 0.061 0.061
S 0.125 0.125 0.125
S 0.875 0.875 0.875
CELL_PARAMETERS angstrom
-6.349 -7.266 -7.895
-0.499 -8.904 -8.713
-3.699 -11.207 -4.019
```